An optimized crystal structure of Ac3Sn2Pd8Pb. Source: the Alexandria database, functional PBE.

Cell lengths 5.7317, 5.7317, 11.1310 Å; angles 90.00, 90.00, 120.00 degrees
Space group P-3m1 (No. 164)
Inequivalent atoms, fractional coordinates:
Ac: 0.0000 0.0000 0.0000 x1
Ac: 0.3333 0.6667 0.5977 x2
Sn: 0.3333 0.6667 0.1026 x2
Pd: 0.1644 0.3289 0.2847 x6
Pd: 0.3333 0.6667 0.8659 x2
Pb: 0.0000 0.0000 0.5000 x1

Values from the calculation:
**Energy of formation from the pure elements**: -627.7 meV per atom
**Mass density**: 10.4 g/cm³